The following is a DFT calculation (GGA-PBEsol) of NbReOsPd2 after structural relaxation.

a = 4.660 Å, b = 4.660 Å, c = 4.643 Å
α = 90.00°, β = 90.00°, γ = 90.00°
Sites, in units of the cell vectors:
Nb (0.000, 0.000, 0.000)
Re (0.500, 0.500, 0.500)
Os (0.500, 0.500, 0.000)
Pd (0.000, 0.500, 0.500)
Pd (0.500, 0.000, 0.500)

Summary:
The calculation puts the density of states at the Fermi level at 6.0 states/eV/f.u. As for the raw total energy: -39.53 eV for the cell shown. As for the crystal system: tetragonal. The value obtained for the total moment is 1.35 μB per formula unit.

=====

The following is a DFT calculation (GGA-PBEsol) of SrMgZr2 after structural relaxation.

a = 5.563 Å, b = 5.563 Å, c = 5.563 Å
α = 128.68°, β = 128.68°, γ = 75.52°
Sites, in units of the cell vectors:
Sr (0.000, 0.000, 0.000)
Mg (0.250, 0.750, 0.500)
Zr (0.500, 0.500, 0.000)
Zr (0.750, 0.250, 0.500)

Summary:
The calculation puts the density of states at the Fermi level at 6.5 states/eV/f.u. As for the raw total energy: -19.93 eV for the cell shown. As for the crystal system: tetragonal. The value obtained for the total moment is 0.02 μB per formula unit.

=====

The following is a DFT calculation (GGA-PBEsol) of Bi14Te13S8 after structural relaxation.

a = 11.866 Å, b = 11.866 Å, c = 11.866 Å
α = 56.06°, β = 56.06°, γ = 56.06°
Sites, in units of the cell vectors:
Bi (0.037, 0.180, 0.453)
Bi (0.107, 0.107, 0.107)
Bi (0.180, 0.453, 0.037)
Bi (0.241, 0.386, 0.687)
Bi (0.313, 0.759, 0.614)
Bi (0.386, 0.687, 0.241)
Bi (0.453, 0.037, 0.180)
Bi (0.547, 0.963, 0.820)
Bi (0.614, 0.313, 0.759)
Bi (0.687, 0.241, 0.386)
Bi (0.759, 0.614, 0.313)
Bi (0.820, 0.547, 0.963)
Bi (0.893, 0.893, 0.893)
Bi (0.963, 0.820, 0.547)
Te (0.016, 0.712, 0.134)
Te (0.134, 0.016, 0.712)
Te (0.140, 0.570, 0.432)
Te (0.288, 0.866, 0.984)
Te (0.430, 0.568, 0.860)
Te (0.432, 0.140, 0.570)
Te (0.500, 0.500, 0.500)
Te (0.568, 0.860, 0.430)
Te (0.570, 0.432, 0.140)
Te (0.712, 0.134, 0.016)
Te (0.860, 0.430, 0.568)
Te (0.866, 0.984, 0.288)
Te (0.984, 0.288, 0.866)
S (0.072, 0.640, 0.791)
S (0.209, 0.928, 0.360)
S (0.270, 0.270, 0.270)
S (0.360, 0.209, 0.928)
S (0.640, 0.791, 0.072)
S (0.730, 0.730, 0.730)
S (0.791, 0.072, 0.640)
S (0.928, 0.360, 0.209)

Summary:
As for the raw total energy: -150.71 eV for the cell shown. As for the crystal system: trigonal. The value obtained for the total moment is 0.00 μB per formula unit. The raw formation energy comes out at -27.03 kJ/mol of atoms.

=====

The following is a DFT calculation (GGA-PBEsol) of NiAgMo2 after structural relaxation.

a = 9.332 Å, b = 9.332 Å, c = 9.332 Å
α = 16.58°, β = 16.58°, γ = 16.58°
Sites, in units of the cell vectors:
Ni (0.000, 0.000, 0.000)
Ag (0.500, 0.500, 0.500)
Mo (0.257, 0.257, 0.257)
Mo (0.743, 0.743, 0.743)

Summary:
The calculation puts the density of states at the Fermi level at 4.3 states/eV/f.u. As for the raw total energy: -31.63 eV for the cell shown. As for the crystal system: trigonal. The value obtained for the total moment is 0.00 μB per formula unit. The value obtained for the polymorph energy (0 for the lowest one) is 97 meV/atom.

=====

The following is a DFT calculation (GGA-PBEsol) of Al2TcCl after structural relaxation.

a = 5.598 Å, b = 5.598 Å, c = 5.598 Å
α = 104.12°, β = 104.12°, γ = 120.81°
Sites, in units of the cell vectors:
Al (0.124, 0.125, 0.499)
Al (0.375, 0.876, 0.001)
Al (0.626, 0.625, 0.501)
Al (0.875, 0.374, 0.999)
Tc (0.250, 0.750, 0.500)
Tc (0.500, 0.500, 0.000)
Cl (0.000, 0.000, 0.000)
Cl (0.750, 0.250, 0.500)

Summary:
The calculation puts the density of states at the Fermi level at 3.2 states/eV/f.u. As for the raw total energy: -39.73 eV for the cell shown. As for the crystal system: tetragonal. The value obtained for the total moment is 0.00 μB per formula unit. The raw formation energy comes out at 38.38 kJ/mol of atoms. The value obtained for the polymorph energy (0 for the lowest one) is 817 meV/atom.

=====

The following is a DFT calculation (GGA-PBEsol) of RbZn3S after structural relaxation.

a = 6.252 Å, b = 6.252 Å, c = 6.252 Å
α = 90.00°, β = 90.00°, γ = 90.00°
Sites, in units of the cell vectors:
Rb (0.000, 0.000, 0.000)
Zn (0.000, 0.000, 0.500)
Zn (0.000, 0.500, 0.000)
Zn (0.500, 0.000, 0.000)
S (0.500, 0.500, 0.500)

Summary:
The calculation puts the density of states at the Fermi level at 8.1 states/eV/f.u. As for the raw total energy: -4.06 eV for the cell shown. As for the crystal system: cubic. The value obtained for the total moment is 1.00 μB per formula unit. The raw formation energy comes out at 117.64 kJ/mol of atoms.

=====

Number 2 is which compound?
SrMgZr2

=====

Among the records above, which one has the highest total moment?
NbReOsPd2

=====

The highest raw total energy belongs to which entry?
RbZn3S

=====

What did the sixth record say?
The following is a DFT calculation (GGA-PBEsol) of RbZn3S after structural relaxation.

a = 6.252 Å, b = 6.252 Å, c = 6.252 Å
α = 90.00°, β = 90.00°, γ = 90.00°
Sites, in units of the cell vectors:
Rb (0.000, 0.000, 0.000)
Zn (0.000, 0.000, 0.500)
Zn (0.000, 0.500, 0.000)
Zn (0.500, 0.000, 0.000)
S (0.500, 0.500, 0.500)

Summary:
The calculation puts the density of states at the Fermi level at 8.1 states/eV/f.u. As for the raw total energy: -4.06 eV for the cell shown. As for the crystal system: cubic. The value obtained for the total moment is 1.00 μB per formula unit. The raw formation energy comes out at 117.64 kJ/mol of atoms.